{
  "formula": "TiGeSe2Br",
  "functional": "PBE",
  "state": "relaxed",
  "formation_energy_uncorrected_ev_per_atom": -0.237,
  "total_magnetization_mub_per_cell": 0.74,
  "cell": [[-2.667, 2.442, 3.465], [0.309, -3.971, 3.037], [4.217, 1.826, 1.958]],
  "species": ["Se", "Se", "Ti", "Ge", "Br"],
  "frac_coords": [[0.500, 0.000, 0.000], [0.000, 0.500, 0.000], [0.000, 0.000, 0.000], [0.500, 0.500, 0.500], [0.000, 0.000, 0.500]]
}